[1]
Material: Sr2HPd
Method: DFT, GGA-PBE
State: optimized geometry

```
Sr2HPd
1.0
-2.9714 4.6449 -4.6526
0.0357 -5.0943 -5.1087
-5.1214 -1.4068 -3.7274
Sr Pd H
4 2 2
direct
0.5638 0.1250 0.2500
0.3750 0.4362 0.7500
0.1862 0.6250 0.2500
0.8750 0.8138 0.7500
0.0000 0.0000 0.0000
0.7500 0.2500 0.5000
0.5000 0.5000 0.0000
0.2500 0.7500 0.5000
```

Relative energy among the computed polymorphs in eV/atom: 0.052
Density of states at the Fermi level in states/eV/atom: 0.714
VASP energy in eV per atom: -3.310


[2]
Material: GaTe2IrN
Method: DFT, GGA-PBE
State: optimized geometry

```
GaTe2IrN
1.0
-1.1353 4.9236 -1.8363
0.9653 -1.0581 -3.4339
-5.0664 -1.5242 -0.9545
Te Ga Ir N
2 1 1 1
direct
0.0000 0.0000 0.5000
0.5000 0.0000 0.0000
0.5000 0.5000 0.5000
0.0000 0.5000 0.0000
0.0000 0.0000 0.0000
```

Relative energy among the computed polymorphs in eV/atom: 0.369
Density of states at the Fermi level in states/eV/atom: 0.921
VASP energy in eV per atom: -4.669
Raw formation energy in eV per atom: 0.630